# PBE-GGA Ca2Zn5Ga5, optimized geometry
# SG   Pmmm, No. 47
# Formation energy from the elements   -2.453 eV/f.u.
# Calculated total energy   -27.96 eV for the cell shown
data_Ca2Zn5Ga5
_chemical_formula_sum 'Ca2 Zn5 Ga5'
_space_group_name_H-M_alt 'P 1'
_space_group_IT_number 1
_cell_length_a 4.207
_cell_length_b 5.477
_cell_length_c 10.079
_cell_angle_alpha 90.00
_cell_angle_beta 90.00
_cell_angle_gamma 90.00
loop_
_space_group_symop_operation_xyz
'x,y,z'
loop_
_atom_site_label
_atom_site_type_symbol
_atom_site_fract_x
_atom_site_fract_y
_atom_site_fract_z
Zn1 Zn 0.500 0.251 0.256
Zn2 Zn 0.500 0.500 0.500
Zn3 Zn 0.500 0.251 0.744
Zn4 Zn 0.500 0.749 0.256
Zn5 Zn 0.500 0.749 0.744
Ca1 Ca 0.000 0.000 0.500
Ca2 Ca 0.000 0.500 0.000
Ga1 Ga 0.000 0.500 0.664
Ga2 Ga 0.000 0.000 0.174
Ga3 Ga 0.000 0.500 0.336
Ga4 Ga 0.500 0.000 0.000
Ga5 Ga 0.000 0.000 0.826